# 1
InCu2Br | PBE | optimized geometry

a = 4.7697 Å, b = 4.7697 Å, c = 3.3698 Å
α = 90.00°, β = 90.00°, γ = 90.00°
Last column: nearest neighbours and their distance in Å.
Space group P4/mmm (No. 123)
Asymmetric unit:
In 0.0000 0.0000 0.0000 [1 per cell]  8 Cu 2.92
Cu 0.0000 0.5000 0.5000 [2 per cell]  4 In 2.92, 4 Br 2.92
Br 0.5000 0.5000 0.0000 [1 per cell]  8 Cu 2.92

Raw formation energy: 0.38 eV/atom

---

# 2
CdSiAg2 | PBE | optimized geometry

a = 9.9725 Å, b = 2.9119 Å, c = 5.0953 Å
α = 90.00°, β = 97.69°, γ = 90.00°
Last column: nearest neighbours and their distance in Å.
Space group Cm (No. 8)
Asymmetric unit:
Cd 0.0000 0.0000 0.0000 [2 per cell]  2 Cd 2.91, 7 Ag 2.92-3.03, 3 Si 2.98-3.12
Si 0.2436 0.0000 0.7197 [2 per cell]  7 Ag 2.82-3.05, 2 Si 2.91, 3 Cd 2.98-3.12
Ag 0.2516 0.5000 0.2471 [2 per cell]  4 Si 2.82-3.05, 5 Ag 2.91-3.01, 3 Cd 2.92-3.03
Ag 0.4990 0.0000 0.5032 [2 per cell]  3 Si 2.91-2.93, 5 Ag 2.91-3.01, 4 Cd 2.92-2.95

Raw formation energy: 0.20 eV/atom

---

# 3
LiMgBr | PBE | optimized geometry

a = 3.6566 Å, b = 3.6574 Å, c = 11.5405 Å
α = 90.00°, β = 98.85°, γ = 90.00°
Last column: nearest neighbours and their distance in Å.
Space group P2_1/m (No. 11)
Asymmetric unit:
Li 0.1231 0.2500 0.2397 [2 per cell]  4 Br 2.66
Mg 0.2824 0.2500 0.5674 [2 per cell]  1 Br 2.83, 4 Mg 3.01
Br 0.4037 0.2500 0.8157 [2 per cell]  4 Li 2.66, 1 Mg 2.83

Raw formation energy: -0.81 eV/atom

---

| no. | ΔE to the lowest computed polymorph (meV/atom) | magnetic moment (μB/cell) |
| --- | --- | --- |
| 1 | 383.5 | 0.0 |
| 2 | 76.6 | 0.0 |
| 3 | 6.9 | 0.0 |